[1]
Below is LiSnAu after structural relaxation, with properties calculated at the PBE-GGA level.

The distance to the lowest polymorph of the same formula is 0.000 eV per formula unit. The calculation puts the total moment at 0.0 μB per cell. The energy comes out at -20.934 eV for the cell shown. The formation energy comes out at -123 kJ/mol of formula units.

It has space group P6_3/mmc (No. 194), with a = 4.7572 Å, b = 4.7572 Å, c = 6.0810 Å, α = 90.00°, β = 90.00° and γ = 120.00°. The distinct sites, in fractional coordinates, are Li at (0.0000, 0.0000, 0.0000), Sn at (0.3333, 0.6667, 0.2500) and Au at (0.3333, 0.6667, 0.7500).

[2]
Below is La2NpSb3 after structural relaxation, with properties calculated at the PBE-GGA level.

The calculation puts the total moment at 7.8 μB per cell. The calculation puts the formation energy from raw total energies at -888 meV per atom. The energy comes out at -80.986 eV for the cell shown.

It has space group I4/mmm (No. 139), with a = 4.558 Å, b = 4.558 Å, c = 19.311 Å, α = 90.00°, β = 90.00° and γ = 90.00°. The distinct sites, in fractional coordinates, are La at (0.000, 0.000, 0.167), Np at (0.000, 0.000, 0.500), Sb at (0.000, 0.000, 0.000) and Sb at (0.000, 0.000, 0.337).

[3]
Below is LiGa2Hg8 after structural relaxation, with properties calculated at the PBE-GGA level.

The calculation puts the total moment at 0.0 μB per cell. The energy comes out at -20.595 eV for the cell shown. The formation energy comes out at 8 kJ/mol of formula units.

It has space group C2/m (No. 12), with a = 10.541 Å, b = 10.232 Å, c = 5.437 Å, α = 90.00°, β = 100.23° and γ = 90.00°. The distinct sites, in fractional coordinates, are Li at (0.000, 0.000, 0.000), Ga at (0.135, 0.000, 0.553), Hg at (0.087, 0.500, 0.295), Hg at (0.088, 0.242, 0.791) and Hg at (0.239, 0.500, 0.864).

[4]
Below is BaGeSb2S after structural relaxation, with properties calculated at the PBE-GGA level.

The calculation puts the total moment at 2.4 μB per cell. The calculation puts the formation energy from raw total energies at 1402 meV per atom. The energy comes out at -11.902 eV for the cell shown.

It has space group P4/mmm (No. 123), with a = 6.283 Å, b = 6.283 Å, c = 6.021 Å, α = 90.00°, β = 90.00° and γ = 90.00°. The distinct sites, in fractional coordinates, are Ba at (0.000, 0.000, 0.000), Ge at (0.000, 0.000, 0.500), Sb at (0.000, 0.500, 0.000) and S at (0.500, 0.500, 0.500).

- Which value of energy does entry 1 give?
  -20.934 eV for the cell shown

- energy of number 4 (BaGeSb2S)?
  -11.902 eV for the cell shown